# 1
Here is a relaxed structure of Pa3Tc3Ge2 from the Alexandria database. Energies are from PBE-GGA.

Unit cell a=5.694 b=5.694 c=14.214 alpha=90.00 beta=90.00 gamma=136.78
Sites, in units of the cell vectors:
Pa (0.093, 0.907, 0.617)
Pa (0.093, 0.907, 0.883)
Pa (0.373, 0.627, 0.750)
Pa (0.627, 0.373, 0.250)
Pa (0.907, 0.093, 0.117)
Pa (0.907, 0.093, 0.383)
Tc (0.361, 0.639, 0.250)
Tc (0.384, 0.616, 0.520)
Tc (0.384, 0.616, 0.980)
Tc (0.616, 0.384, 0.020)
Tc (0.616, 0.384, 0.480)
Tc (0.639, 0.361, 0.750)
Ge (0.193, 0.807, 0.108)
Ge (0.193, 0.807, 0.392)
Ge (0.807, 0.193, 0.608)
Ge (0.807, 0.193, 0.892)

## Properties
Symmetry: Cmcm, No. 63
Formation energy (eV/atom): -0.35
Spin magnetization (μB per formula unit): 0.00

---

# 2
Here is a relaxed structure of MgGa2NiPb from the Alexandria database. Energies are from PBE-GGA.

Unit cell a=4.593 b=4.593 c=5.044 alpha=90.00 beta=90.00 gamma=90.00
Sites, in units of the cell vectors:
Mg (0.000, 0.000, 0.000)
Ga (0.000, 0.500, 0.500)
Ga (0.500, 0.000, 0.500)
Ni (0.000, 0.000, 0.500)
Pb (0.500, 0.500, 0.000)

## Properties
Symmetry: P4/mmm, No. 123
Formation energy (eV/atom): -0.06
Spin magnetization (μB per formula unit): 0.00

---

# 3
Here is a relaxed structure of K3InSb2O6 from the Alexandria database. Energies are from PBE-GGA.

Unit cell a=6.037 b=6.037 c=7.166 alpha=90.00 beta=90.00 gamma=120.00
Sites, in units of the cell vectors:
K (0.000, 0.000, 0.000)
K (0.333, 0.667, 0.649)
K (0.667, 0.333, 0.351)
In (0.000, 0.000, 0.500)
Sb (0.333, 0.667, 0.186)
Sb (0.667, 0.333, 0.814)
O (0.168, 0.335, 0.313)
O (0.168, 0.832, 0.313)
O (0.335, 0.168, 0.687)
O (0.665, 0.832, 0.313)
O (0.832, 0.168, 0.687)
O (0.832, 0.665, 0.687)

## Properties
Symmetry: P-3m1, No. 164
Formation energy without anion corrections (eV/atom): -1.521
Spin magnetization (μB per formula unit): 0.00

---

# 4
Here is a relaxed structure of HfThPb from the Alexandria database. Energies are from PBE-GGA.

Unit cell a=5.282 b=5.282 c=3.448 alpha=90.00 beta=90.00 gamma=120.00
Sites, in units of the cell vectors:
Hf (0.000, 0.000, 0.000)
Th (0.667, 0.333, 0.500)
Pb (0.333, 0.667, 0.000)

## Properties
Symmetry: P-6m2, No. 187
Formation energy (eV/atom): 0.13
Spin magnetization (μB per formula unit): 0.00
Polymorph energy (0 for the lowest one) (meV/atom): 261

---

What is the spin magnetization in the third record?
0.00 μB per formula unit